No. 1
Below is an optimized crystal structure of Dy2Co15Ni2, with properties calculated at the PBE level.

Cell lengths 6.261, 6.261, 6.261 Å; angles 83.26, 83.26, 83.26 degrees
Each line ends with the local moment (μB).
Fractional positions:
Dy 0.658 0.658 0.658  -0.37
Dy 0.342 0.342 0.342  -0.37
Co 0.713 0.287 0.000  1.56
Co 0.713 0.000 0.287  1.56
Co 0.287 0.713 0.000  1.56
Ni 0.898 0.898 0.898  0.58
Co 0.000 0.287 0.713  1.56
Co 0.000 0.713 0.287  1.56
Co 0.347 0.848 0.347  1.53
Co 0.653 0.653 0.152  1.53
Co 0.500 0.000 0.000  1.56
Co 0.287 0.000 0.713  1.56
Co 0.848 0.347 0.347  1.53
Co 0.000 0.500 0.000  1.56
Co 0.347 0.347 0.848  1.53
Co 0.653 0.152 0.653  1.53
Co 0.152 0.653 0.653  1.53
Co 0.000 0.000 0.500  1.56
Ni 0.102 0.102 0.102  0.58

Results
formation energy from the elements	-0.10	eV/atom
calculated total energy	-6.8053	eV per atom
crystal system	trigonal

---

No. 2
Below is an optimized crystal structure of Sr2LiYRu, with properties calculated at the PBE level.

Cell lengths 6.042, 4.614, 6.042 Å; angles 90.00, 90.00, 90.00 degrees
Fractional positions:
Ru 0.500 0.500 0.500
Li 0.000 0.500 0.000
Sr 0.500 0.000 0.000
Y 0.000 0.000 0.000
Sr 0.000 0.000 0.500

Results
formation energy from the elements	1.70	eV/atom
calculated total energy	-2.5074	eV per atom
crystal system	tetragonal

---

No. 3
Below is an optimized crystal structure of RePbW2, with properties calculated at the PBE level.

Cell lengths 4.346, 4.006, 4.006 Å; angles 90.00, 90.00, 90.00 degrees
Fractional positions:
W 0.000 0.000 0.000
Re 0.500 0.000 0.500
Pb 0.500 0.500 0.000
W 0.000 0.500 0.500

Results
formation energy from the elements	1.01	eV/atom
calculated total energy	-9.5011	eV per atom
crystal system	tetragonal

---

No. 4
Below is an optimized crystal structure of InRuCl2, with properties calculated at the PBE level.

Cell lengths 3.594, 3.592, 7.289 Å; angles 90.00, 90.00, 90.00 degrees
Each line ends with the local moment (μB).
Fractional positions:
In 0.000 0.000 0.555  -0.06
Cl 0.500 0.500 0.339  -0.01
Ru 0.500 0.500 0.683  1.01
Cl 0.000 0.000 0.923  0.03

Results
uncorrected formation energy	76	meV/atom
energy above the most stable polymorph in this dataset	316	meV per atom
calculated total energy	-3.8513	eV per atom
crystal system	tetragonal

---

No. 5
Below is an optimized crystal structure of NaLiDy2Au4, with properties calculated at the PBE level.

Cell lengths 4.948, 4.948, 8.458 Å; angles 72.99, 72.99, 60.00 degrees
Fractional positions:
Au 0.126 0.126 0.621
Dy 0.249 0.249 0.252
Au 0.874 0.874 0.379
Au 0.620 0.620 0.141
Au 0.380 0.380 0.859
Li 0.500 0.500 0.500
Dy 0.751 0.751 0.748
Na 0.000 0.000 0.000

Results
formation energy from the elements	-0.65	eV/atom
calculated total energy	-3.8466	eV per atom
crystal system	trigonal

---

No. 6
Below is an optimized crystal structure of MnGa2Rh4, with properties calculated at the PBE level.

Cell lengths 5.137, 5.137, 5.137 Å; angles 108.71, 109.85, 109.85 degrees
Each line ends with the local moment (μB).
Fractional positions:
Ga 0.500 0.000 0.500  0.00
Rh 0.500 0.500 0.500  0.00
Rh 0.000 0.000 0.500  0.00
Mn 0.000 0.000 0.000  3.19
Rh 0.000 0.500 0.000  0.00
Rh 0.500 0.000 0.000  0.00
Ga 0.500 0.500 0.000  0.00

Results
formation energy from the elements	-0.32	eV/atom
calculated total energy	-6.6908	eV per atom
crystal system	tetragonal

---

No. 7
Below is an optimized crystal structure of AlTc3Pt, with properties calculated at the PBE level.

Cell lengths 4.381, 4.381, 4.381 Å; angles 90.00, 90.00, 90.00 degrees
Fractional positions:
Tc 0.500 0.000 0.000
Tc 0.000 0.500 0.000
Al 0.000 0.000 0.000
Tc 0.000 0.000 0.500
Pt 0.500 0.500 0.500

Results
formation energy from the elements	1.30	eV/atom
energy above the most stable polymorph in this dataset	0	meV per atom
calculated total energy	-6.8763	eV per atom
crystal system	cubic

---

No. 8
Below is an optimized crystal structure of Pu4AgGe2Pd, with properties calculated at the PBE level.

Cell lengths 5.089, 5.089, 8.713 Å; angles 73.02, 73.02, 60.00 degrees
Each line ends with the local moment (μB).
Fractional positions:
Pd 0.500 0.500 0.500  -0.09
Ge 0.745 0.745 0.764  -0.15
Pu 0.619 0.619 0.144  5.27
Ge 0.255 0.255 0.236  -0.15
Pu 0.130 0.130 0.611  5.31
Ag 0.000 0.000 0.000  0.03
Pu 0.870 0.870 0.389  5.31
Pu 0.381 0.381 0.856  5.27

Results
formation energy from the elements	-0.27	eV/atom
calculated total energy	-9.5972	eV per atom
crystal system	trigonal

---

No. 9
Below is an optimized crystal structure of PrPa2Au6, with properties calculated at the PBE level.

Cell lengths 3.214, 8.379, 8.379 Å; angles 120.00, 90.00, 90.00 degrees
Each line ends with the local moment (μB).
Fractional positions:
Pa 0.000 0.667 0.333  0.74
Pr 0.000 0.000 0.000  -0.04
Au 0.500 0.665 0.665  0.00
Pa 0.000 0.333 0.667  0.74
Au 0.500 0.335 0.335  0.00
Au 0.500 0.335 0.000  0.00
Au 0.500 0.000 0.335  0.00
Au 0.500 0.665 0.000  0.00
Au 0.500 0.000 0.665  0.00

Results
formation energy from the elements	-0.55	eV/atom
calculated total energy	-5.3721	eV per atom
crystal system	hexagonal

---

No. 10
Below is an optimized crystal structure of BaMnTe2, with properties calculated at the PBE level.

Cell lengths 3.935, 3.935, 7.997 Å; angles 90.00, 90.00, 90.00 degrees
Each line ends with the local moment (μB).
Fractional positions:
Te 0.000 0.000 0.533  0.04
Mn 0.500 0.500 0.750  4.33
Ba 0.500 0.500 0.250  0.04
Te 0.000 0.000 0.967  0.04

Results
uncorrected formation energy	-464	meV/atom
calculated total energy	-4.8078	eV per atom
crystal system	tetragonal